# CrSOF2 GGA+U optimized geometry
data_CrSOF2
_chemical_formula_sum 'Cr1 S1 O1 F2'
_cell_length_a 4.533
_cell_length_b 4.533
_cell_length_c 3.450
_cell_angle_alpha 90.00
_cell_angle_beta 90.00
_cell_angle_gamma 90.00
_space_group_name_H-M_alt 'P 4/m m m'
_space_group_IT_number 123
_space_group_name_Hall '-P 4 2'
loop_
_atom_site_label
_atom_site_fract_x
_atom_site_fract_y
_atom_site_fract_z
Cr1 0.000 0.000 0.000
S1 0.500 0.500 0.500
O1 0.500 0.500 0.000
F1 0.000 0.500 0.500
# - Density: 3.2 Mg/m³
# - E above lowest polymorph: 410 meV/atom
# - VASP energy: -23.288 eV per cell